CaScTeN2 GGA-PBEsol optimized geometry; calculated volume = 20.61 A^3/atom; SG = P4/mmm; total magnetization = 2.6 μB per cell; crystal system = tetragonal; electronic total energy = -5.972 eV per atom; ΔE_f (raw) = -0.108 eV per atom
1.0
-3.884 0.138 -1.779
-1.753 -1.096 3.741
-0.442 5.448 1.389
Sc Ca Te N
1 1 1 2
Direct
0.000 0.000 0.000
0.500 0.500 0.500
0.000 0.000 0.500
0.000 0.500 0.000
0.500 0.000 0.000

=====

KReF3 GGA-PBEsol optimized geometry; calculated volume = 14.74 A^3/atom; SG = Pm-3m; total magnetization = 0.0 μB per cell; crystal system = cubic; electronic total energy = -5.310 eV per atom; ΔE_f (raw) = -1.261 eV per atom
1.0
-2.697 -2.424 -2.104
-1.387 -1.599 3.620
-2.895 3.024 0.227
Re K F
1 1 3
Direct
0.000 0.000 0.000
0.500 0.500 0.500
0.000 0.500 0.000
0.000 0.000 0.500
0.500 0.000 0.000

=====

Er3Si11Pt23 GGA-PBEsol optimized geometry; calculated volume = 15.96 A^3/atom; SG = Fm-3m; total magnetization = 0.0 μB per cell; crystal system = cubic; electronic total energy = -7.330 eV per atom; ΔE_f (raw) = -0.894 eV per atom
1.0
-5.121 -10.140 3.427
3.560 -10.315 -4.659
6.042 -7.745 6.656
Er Si Pt
6 22 46
Direct
0.500 0.500 0.000
0.000 0.500 0.000
0.000 0.500 0.500
0.000 0.000 0.500
0.500 0.000 0.500
0.500 0.000 0.000
0.171 0.171 0.829
0.829 0.171 0.829
0.829 0.171 0.171
0.829 0.829 0.171
0.171 0.829 0.171
0.171 0.829 0.829
0.835 0.496 0.835
0.835 0.835 0.496
0.835 0.835 0.835
0.496 0.835 0.835
0.165 0.504 0.165
0.165 0.165 0.504
0.165 0.165 0.165
0.504 0.165 0.165
0.606 0.181 0.606
0.606 0.606 0.181
0.606 0.606 0.606
0.181 0.606 0.606
0.394 0.819 0.394
0.394 0.394 0.819
0.394 0.394 0.394
0.819 0.394 0.394
0.917 0.249 0.917
0.917 0.917 0.249
0.917 0.917 0.917
0.249 0.917 0.917
0.083 0.751 0.083
0.083 0.083 0.751
0.083 0.083 0.083
0.751 0.083 0.083
0.692 0.925 0.692
0.692 0.692 0.925
0.692 0.692 0.692
0.925 0.692 0.692
0.308 0.075 0.308
0.308 0.308 0.075
0.308 0.308 0.308
0.075 0.308 0.308
0.375 0.375 0.625
0.625 0.375 0.625
0.625 0.375 0.375
0.625 0.625 0.375
0.375 0.625 0.375
0.375 0.625 0.625
0.748 0.421 0.083
0.083 0.421 0.748
0.748 0.421 0.748
0.748 0.083 0.421
0.748 0.748 0.421
0.083 0.748 0.421
0.083 0.748 0.748
0.748 0.748 0.083
0.748 0.083 0.748
0.421 0.748 0.748
0.421 0.083 0.748
0.421 0.748 0.083
0.252 0.579 0.917
0.917 0.579 0.252
0.252 0.579 0.252
0.252 0.917 0.579
0.252 0.252 0.579
0.917 0.252 0.579
0.917 0.252 0.252
0.252 0.252 0.917
0.252 0.917 0.252
0.579 0.252 0.252
0.579 0.917 0.252
0.579 0.252 0.917

=====

Zr2TlAu GGA-PBEsol optimized geometry; calculated volume = 20.19 A^3/atom; SG = I4/mmm; total magnetization = 0.0 μB per cell; crystal system = tetragonal; electronic total energy = -6.527 eV per atom; DFT formation energy = -344 meV per atom
1.0
4.381 0.000 0.000
0.000 4.381 0.000
-2.190 -2.190 4.209
Tl Au Zr
1 1 2
Direct
0.500 0.500 0.000
0.000 0.000 0.000
0.750 0.250 0.500
0.250 0.750 0.500

=====

Mg2InAg GGA-PBEsol optimized geometry; calculated volume = 19.85 A^3/atom; SG = P4/mmm; total magnetization = 0.0 μB per cell; crystal system = tetragonal; electronic total energy = -2.580 eV per atom; DFT formation energy = -147 meV per atom
1.0
-3.276 1.925 -1.381
-2.447 -3.616 0.762
-0.872 1.454 4.095
Mg Ag In
2 1 1
Direct
0.000 0.000 0.500
0.000 0.500 0.000
0.500 0.500 0.500
0.500 0.000 0.000

=====

PbBr2 GGA-PBEsol optimized geometry; calculated volume = 31.86 A^3/atom; SG = Fm-3m; total magnetization = 0.0 μB per cell; crystal system = cubic; electronic total energy = -3.426 eV per atom; ΔE_f (raw) = -0.846 eV per atom
1.0
5.132 0.000 0.000
2.566 4.444 0.000
2.566 1.481 4.190
Pb Br
1 2
Direct
0.000 0.000 0.000
0.750 0.750 0.750
0.250 0.250 0.250

=====

Rb2AgAsBr6 GGA-PBEsol optimized geometry; calculated volume = 30.89 A^3/atom; SG = Fm-3m; total magnetization = 0.0 μB per cell; crystal system = cubic; electronic total energy = -3.120 eV per atom; ΔE_f (raw) = -0.951 eV per atom
1.0
-0.560 0.189 -7.565
0.250 -6.452 -3.986
-6.261 -2.600 -3.407
As Br Rb Ag
1 6 2 1
Direct
0.000 0.000 0.000
0.754 0.246 0.246
0.754 0.754 0.246
0.246 0.754 0.754
0.754 0.246 0.754
0.246 0.754 0.246
0.246 0.246 0.754
0.750 0.750 0.750
0.250 0.250 0.250
0.500 0.500 0.500

=====

NaSm3Ti2Sb2O14 GGA-PBEsol optimized geometry; calculated volume = 12.39 A^3/atom; SG = C2/m; total magnetization = 0.0 μB per cell; crystal system = monoclinic; offset from the most stable computed form = 3 meV per atom; electronic total energy = -7.982 eV per atom; ΔE_f (raw) = -2.713 eV per atom
1.0
7.207 0.002 -0.002
3.538 6.324 -0.002
-3.538 -2.049 5.983
Na Sm Ti Sb O
1 3 2 2 14
Direct
0.000 0.000 0.000
0.500 0.000 0.000
0.000 0.000 0.500
0.000 0.500 0.000
0.500 0.500 0.500
0.000 0.500 0.500
0.500 0.500 0.000
0.500 0.000 0.500
0.182 0.571 0.429
0.574 0.171 0.829
0.578 0.578 0.824
0.177 0.179 0.438
0.177 0.562 0.821
0.578 0.176 0.422
0.818 0.429 0.571
0.426 0.829 0.171
0.422 0.422 0.176
0.823 0.821 0.562
0.823 0.438 0.179
0.422 0.824 0.578
0.873 0.871 0.129
0.127 0.129 0.871

=====

NbGaIr3 GGA-PBEsol optimized geometry; calculated volume = 17.44 A^3/atom; SG = Pm-3m; total magnetization = 0.9 μB per cell; crystal system = cubic; electronic total energy = -7.642 eV per atom; DFT formation energy = 1084 meV per atom
1.0
4.434 0.000 0.000
0.000 4.434 0.000
0.000 0.000 4.434
Nb Ir Ga
1 3 1
Direct
0.500 0.500 0.500
0.000 0.500 0.000
0.000 0.000 0.500
0.500 0.000 0.000
0.000 0.000 0.000

=====

TcRuSe GGA-PBEsol optimized geometry; calculated volume = 16.46 A^3/atom; SG = F-43m; total magnetization = 0.0 μB per cell; crystal system = cubic; offset from the most stable computed form = 183 meV per atom; electronic total energy = -8.130 eV per atom; ΔE_f (raw) = 0.300 eV per atom
1.0
-2.514 2.380 2.231
-3.472 -1.569 1.562
-0.343 -0.605 4.059
Ru Se Tc
1 1 1
Direct
0.000 0.000 0.000
0.500 0.500 0.500
0.250 0.250 0.250

=====

Al3Ir GGA-PBEsol optimized geometry; calculated volume = 15.24 A^3/atom; SG = P6_3/mmc; total magnetization = 0.0 μB per cell; crystal system = hexagonal; electronic total energy = -6.182 eV per atom; DFT formation energy = -657 meV per atom
1.0
4.267 0.000 0.000
-2.134 3.696 0.000
0.000 0.000 7.730
Ir Al
2 6
Direct
0.667 0.333 0.750
0.333 0.667 0.250
0.000 0.000 0.750
0.000 0.000 0.250
0.667 0.333 0.421
0.333 0.667 0.921
0.333 0.667 0.579
0.667 0.333 0.079

=====

Li2YAg2 GGA-PBEsol optimized geometry; calculated volume = 19.61 A^3/atom; SG = I4/mmm; total magnetization = 0.0 μB per cell; crystal system = tetragonal; offset from the most stable computed form = 0 meV per atom; electronic total energy = -3.660 eV per atom; DFT formation energy = -185 meV per atom
1.0
3.826 0.000 0.000
0.000 3.826 0.000
-1.913 -1.913 6.700
Y Ag Li
1 2 2
Direct
0.000 0.000 0.000
0.605 0.605 0.209
0.395 0.395 0.791
0.250 0.750 0.500
0.750 0.250 0.500

=====

Ga3PC GGA-PBEsol optimized geometry; calculated volume = 14.98 A^3/atom; SG = Pm-3m; total magnetization = 0.0 μB per cell; crystal system = cubic; electronic total energy = -4.519 eV per atom; DFT formation energy = 572 meV per atom
1.0
4.215 0.000 0.000
0.000 4.215 0.000
0.000 0.000 4.215
P C Ga
1 1 3
Direct
0.500 0.500 0.500
0.000 0.000 0.000
0.000 0.500 0.000
0.000 0.000 0.500
0.500 0.000 0.000

=====

NbAl3N GGA-PBEsol optimized geometry; calculated volume = 13.38 A^3/atom; SG = Pm-3m; total magnetization = 0.3 μB per cell; crystal system = cubic; electronic total energy = -6.426 eV per atom; ΔE_f (raw) = -0.102 eV per atom
1.0
4.060 0.000 0.000
0.000 4.060 0.000
0.000 0.000 4.060
Nb Al N
1 3 1
Direct
0.500 0.500 0.500
0.000 0.500 0.000
0.000 0.000 0.500
0.500 0.000 0.000
0.000 0.000 0.000

=====

LiCuW2 GGA-PBEsol optimized geometry; calculated volume = 14.18 A^3/atom; SG = Pmm2; total magnetization = 0.0 μB per cell; crystal system = orthorhombic; offset from the most stable computed form = 0 meV per atom; electronic total energy = -8.034 eV per atom; DFT formation energy = 445 meV per atom
1.0
2.553 0.000 0.000
0.000 4.057 0.000
0.000 0.000 5.475
Cu Li W
1 1 2
Direct
0.000 0.000 0.514
0.500 0.500 0.734
0.000 0.000 0.001
0.500 0.500 0.251

=====

Mg2ZrFe GGA-PBEsol optimized geometry; calculated volume = 18.31 A^3/atom; SG = R-3m; total magnetization = 2.3 μB per cell; crystal system = trigonal; electronic total energy = -5.072 eV per atom; DFT formation energy = 300 meV per atom
1.0
2.923 0.000 0.000
1.461 2.531 0.000
1.461 0.844 9.900
Fe Mg Zr
1 2 1
Direct
0.000 0.000 0.000
0.260 0.260 0.219
0.740 0.740 0.781
0.500 0.500 0.500

=====

Li2V3O6 GGA-PBEsol optimized geometry; calculated volume = 9.01 A^3/atom; SG = C2/m; total magnetization = 0.0 μB per cell; crystal system = monoclinic; offset from the most stable computed form = 24 meV per atom; electronic total energy = -8.176 eV per atom; ΔE_f (raw) = -2.328 eV per atom
1.0
-1.124 2.176 1.335
-5.463 -1.992 -4.255
-1.804 -7.092 7.122
Li V O
4 6 12
Direct
0.895 0.548 0.741
0.395 0.049 0.241
0.605 0.951 0.759
0.105 0.452 0.259
0.153 0.808 0.998
0.847 0.192 0.002
0.347 0.692 0.502
0.000 0.000 0.500
0.500 0.500 0.000
0.653 0.308 0.498
0.040 0.205 0.374
0.540 0.705 0.874
0.960 0.795 0.626
0.460 0.295 0.126
0.881 0.377 0.884
0.381 0.877 0.384
0.619 0.123 0.616
0.119 0.623 0.116
0.220 0.041 0.900
0.720 0.541 0.400
0.780 0.959 0.100
0.280 0.459 0.600

=====

AcInAg2 GGA-PBEsol optimized geometry; calculated volume = 24.04 A^3/atom; SG = Fm-3m; total magnetization = 0.0 μB per cell; crystal system = cubic; electronic total energy = -3.828 eV per atom; DFT formation energy = -300 meV per atom
1.0
-1.913 4.115 -2.418
-4.611 1.849 1.327
-0.353 4.498 2.467
Ac Ag In
1 2 1
Direct
0.000 0.000 0.000
0.750 0.750 0.750
0.250 0.250 0.250
0.500 0.500 0.500

=====

FeP2Ir GGA-PBEsol optimized geometry; calculated volume = 12.99 A^3/atom; SG = F-43m; total magnetization = 2.9 μB per cell; crystal system = cubic; offset from the most stable computed form = 721 meV per atom; electronic total energy = -7.181 eV per atom; DFT formation energy = 411 meV per atom
1.0
4.189 0.000 0.000
2.094 3.628 0.000
2.094 1.209 3.420
Fe Ir P
1 1 2
Direct
0.500 0.500 0.500
0.250 0.250 0.250
0.000 0.000 0.000
0.750 0.750 0.750

=====

KCaTa2 GGA-PBEsol optimized geometry; calculated volume = 29.31 A^3/atom; SG = Pm; total magnetization = 0.0 μB per cell; crystal system = monoclinic; offset from the most stable computed form = 0 meV per atom; electronic total energy = -6.457 eV per atom; DFT formation energy = 635 meV per atom
1.0
-2.206 2.407 -1.269
-2.486 -1.118 2.200
3.029 6.226 6.588
Ca K Ta
1 1 2
Direct
0.001 0.000 0.420
0.498 0.500 0.798
0.000 0.000 0.086
0.501 0.500 0.196

=====

LaBe2TlIn GGA-PBEsol optimized geometry; calculated volume = 23.92 A^3/atom; SG = P4/mmm; total magnetization = 0.0 μB per cell; crystal system = tetragonal; electronic total energy = -3.261 eV per atom; DFT formation energy = 530 meV per atom
1.0
-0.168 -4.516 0.886
0.855 -0.902 -4.434
5.538 0.004 1.067
Be Tl In La
2 1 1 1
Direct
0.000 0.500 0.000
0.500 0.000 0.000
0.000 0.000 0.500
0.000 0.000 0.000
0.500 0.500 0.500

=====

MgIn2S4 GGA-PBEsol optimized geometry; calculated volume = 22.23 A^3/atom; SG = Fd-3m; total magnetization = 0.0 μB per cell; crystal system = cubic; electronic total energy = -4.441 eV per atom; ΔE_f (raw) = -0.839 eV per atom
1.0
-5.157 -0.429 5.576
-5.802 -4.889 -0.553
-0.245 -6.136 4.490
Mg In S
2 4 8
Direct
0.000 0.000 0.000
0.250 0.250 0.250
0.125 0.625 0.625
0.625 0.125 0.625
0.625 0.625 0.125
0.625 0.625 0.625
0.382 0.382 0.382
0.397 0.868 0.868
0.868 0.868 0.868
0.382 0.853 0.382
0.853 0.382 0.382
0.868 0.868 0.397
0.868 0.397 0.868
0.382 0.382 0.853

=====

NaReNF2 GGA-PBEsol optimized geometry; calculated volume = 12.23 A^3/atom; SG = P4/mmm; total magnetization = 3.0 μB per cell; crystal system = tetragonal; electronic total energy = -4.887 eV per atom; ΔE_f (raw) = 0.536 eV per atom
1.0
-1.773 2.802 1.656
-1.214 -2.318 2.625
3.628 0.857 2.434
Re N F Na
1 1 2 1
Direct
0.500 0.500 0.500
0.000 0.000 0.500
0.000 0.500 0.000
0.500 0.000 0.000
0.000 0.000 0.000